1.
Entry from the Alexandria database: V2CdBiO8 after structural relaxation (PBE with a Hubbard U).

Output
DOS(E_F) = 9.32 states/eV/cell
Final energy = -6.406 eV/atom

Unit cell a=6.090 b=6.090 c=6.090 alpha=106.65 beta=106.65 gamma=115.27
Site moments in Bohr magnetons follow the coordinates.
Fractional coordinates of all 12 atoms:
V (0.750, 0.250, 0.500)  -0.06
V (0.500, 0.500, 0.000)  -0.06
Cd (0.250, 0.750, 0.500)  0.00
Bi (0.000, 0.000, 0.000)  0.03
O (0.397, 0.084, 0.313)  0.12
O (0.329, 0.515, 0.185)  0.10
O (0.329, 0.144, 0.815)  0.10
O (0.770, 0.084, 0.687)  0.12
O (0.856, 0.671, 0.185)  0.10
O (0.916, 0.230, 0.313)  0.12
O (0.916, 0.603, 0.687)  0.12
O (0.485, 0.671, 0.815)  0.10

2.
Entry from the Alexandria database: VCdBi2O6 after structural relaxation (PBE with a Hubbard U).

Output
Final energy = -5.999 eV/atom

Unit cell a=5.817 b=5.776 c=5.911 alpha=60.67 beta=60.44 gamma=60.49
Site moments in Bohr magnetons follow the coordinates.
Fractional coordinates of all 10 atoms:
V (0.319, 0.314, 0.055)  1.05
Cd (0.815, 0.795, 0.598)  0.00
Bi (0.537, 0.528, 0.417)  0.01
Bi (0.038, 0.018, 0.921)  0.01
O (0.557, 0.188, 0.236)  -0.06
O (0.170, 0.996, 0.242)  0.00
O (0.989, 0.582, 0.244)  -0.01
O (0.441, 0.668, 0.764)  -0.01
O (0.657, 0.136, 0.763)  -0.01
O (0.140, 0.437, 0.774)  -0.01

3.
Entry from the Alexandria database: CdBiWO6 after structural relaxation (PBE with a Hubbard U).

Output
DOS(E_F) = 11.05 states/eV/cell
Final energy = -6.025 eV/atom

Unit cell a=5.593 b=5.593 c=9.534 alpha=90.00 beta=90.00 gamma=120.00
Fractional coordinates of all 18 atoms:
Cd (0.000, 0.000, 0.000)
Cd (0.000, 0.000, 0.500)
Bi (0.333, 0.667, 0.250)
Bi (0.667, 0.333, 0.750)
W (0.667, 0.333, 0.250)
W (0.333, 0.667, 0.750)
O (0.659, 0.620, 0.134)
O (0.961, 0.341, 0.134)
O (0.341, 0.961, 0.634)
O (0.039, 0.659, 0.866)
O (0.380, 0.341, 0.366)
O (0.961, 0.620, 0.366)
O (0.620, 0.961, 0.866)
O (0.659, 0.039, 0.366)
O (0.039, 0.380, 0.634)
O (0.380, 0.039, 0.134)
O (0.620, 0.659, 0.634)
O (0.341, 0.380, 0.866)